# 1
AlInFe2 | GGA-PBE | optimized geometry

ΔH_f (0 K) = 0.12 eV/atom
Density = 7.13 Mg/m³
DOS at the Fermi energy = 3.8 states/eV/cell
Total DFT energy (no corrections) = -5.73 eV/atom

a = 4.6881 Å, b = 6.2260 Å, c = 2.8106 Å
α = 63.38°, β = 89.87°, γ = 121.99°
Element x y z (fractional)
1 Fe 0.0000 0.5000 0.5000
2 Fe 0.0000 0.0000 0.0000
3 Al 0.5000 0.0000 0.5000
4 In 0.5000 0.5000 0.0000



# 2
PrHg3Au3 | GGA-PBE | optimized geometry

ΔH_f (0 K) = -0.28 eV/atom
Density = 13.56 Mg/m³
Relative energy among the computed polymorphs = 0 meV per atom
DOS at the Fermi energy = 6.6 states/eV/cell
Total DFT energy (no corrections) = -2.50 eV/atom

a = 7.5167 Å, b = 7.5167 Å, c = 7.9597 Å
α = 61.82°, β = 61.82°, γ = 60.00°
Element x y z (fractional)
1 Pr 0.3408 0.3408 0.9776
2 Pr 0.6592 0.6592 0.0224
3 Au 0.9364 0.1772 0.1753
4 Au 0.7111 0.9364 0.1753
5 Au 0.2889 0.0636 0.8247
6 Au 0.8228 0.2889 0.8247
7 Au 0.0636 0.8228 0.8247
8 Au 0.1772 0.7111 0.1753
9 Hg 0.7260 0.0904 0.6318
10 Hg 0.4482 0.2740 0.3682
11 Hg 0.0904 0.5518 0.6318
12 Hg 0.5518 0.7260 0.6318
13 Hg 0.2740 0.9096 0.3682
14 Hg 0.9096 0.4482 0.3682



# 3
NiAg2H6Ir | GGA-PBE | optimized geometry

Density = 9.35 Mg/m³
DOS at the Fermi energy = 1.4 states/eV/cell
Total DFT energy (no corrections) = -3.90 eV/atom

a = 4.9136 Å, b = 4.9137 Å, c = 4.9154 Å
α = 60.02°, β = 60.02°, γ = 90.04°
Element x y z (fractional)
1 H 0.2494 0.2494 0.5012
2 H 0.2543 0.2546 0.9894
3 H 0.2494 0.7508 0.0000
4 H 0.7506 0.7506 0.4988
5 H 0.7506 0.2492 0.0000
6 H 0.7457 0.7454 0.0106
7 Ir 0.5000 0.5000 0.0000
8 Ag 0.2482 0.7518 0.5000
9 Ag 0.7518 0.2482 0.5000
10 Ni 0.0000 0.0000 0.0000



Q: density of number 1 (AlInFe2)?
A: 7.13 Mg/m³